{"formula": "Rb3Cr2InF9", "functional": "PBE+U", "state": "optimized geometry", "space_group": "P-3m1", "volume_a3_per_atom": 17.456, "m_tot_mub_per_cell": 7.00, "total_energy_ev_per_cell": -76.08, "cell": [[6.169, 0.000, 0.000], [-3.085, 5.343, 0.000], [0.000, 0.000, 7.944]], "species": ["Rb", "Rb", "Rb", "Cr", "Cr", "In", "F", "F", "F", "F", "F", "F", "F", "F", "F"], "fractional_positions": [[0.000, 0.000, 0.000], [0.333, 0.667, 0.670], [0.667, 0.333, 0.330], [0.333, 0.667, 0.144], [0.667, 0.333, 0.856], [0.000, 0.000, 0.500], [0.000, 0.500, 0.000], [0.181, 0.362, 0.289], [0.181, 0.819, 0.289], [0.362, 0.181, 0.711], [0.500, 0.000, 0.000], [0.500, 0.500, 0.000], [0.638, 0.819, 0.289], [0.819, 0.181, 0.711], [0.819, 0.638, 0.711]]}